NaSm2Mg (PBE, relaxed); theoretical density = 4.72 Mg/m³; DFT formation energy = 182 meV per atom; energy above the most stable polymorph in this dataset = 79 meV/atom
1.0
5.026 0.000 0.000
0.000 5.026 0.000
0.000 0.000 4.851
Na Sm Mg
1 2 1
direct
0.000 0.000 0.000 Na
0.000 0.500 0.500 Sm
0.500 0.000 0.500 Sm
0.500 0.500 0.000 Mg

NaSm2Mg (PBE, relaxed); theoretical density = 4.41 Mg/m³; DFT formation energy = 165 meV per atom; energy above the most stable polymorph in this dataset = 62 meV/atom
1.0
1.738 1.003 12.516
-1.738 1.003 12.516
0.000 -2.007 12.516
Na Sm Mg
1 2 1
direct
0.000 0.000 0.000 Na
0.095 0.095 0.095 Sm
0.905 0.905 0.905 Sm
0.500 0.500 0.500 Mg

NaSm2Mg (PBE, relaxed); theoretical density = 4.60 Mg/m³; DFT formation energy = 103 meV per atom; energy above the most stable polymorph in this dataset = 0 meV/atom
1.0
3.851 0.000 0.000
0.000 3.851 0.000
0.000 0.000 8.475
Na Sm Mg
1 2 1
direct
0.000 0.000 0.000 Na
0.500 0.500 0.284 Sm
0.500 0.500 0.716 Sm
0.000 0.000 0.500 Mg

NaSmMg2Sn2 (PBE, relaxed); theoretical density = 5.01 Mg/m³; DFT formation energy = -401 meV per atom
1.0
4.890 0.000 0.000
-2.445 4.235 0.000
0.000 0.000 7.351
Na Sm Mg Sn
1 1 2 2
direct
0.000 0.000 0.000 Na
0.000 0.000 0.500 Sm
0.333 0.667 0.818 Mg
0.667 0.333 0.182 Mg
0.333 0.667 0.262 Sn
0.667 0.333 0.738 Sn

NaSmMgSn (PBE, relaxed); theoretical density = 4.88 Mg/m³; DFT formation energy = -258 meV per atom
1.0
0.000 3.776 3.776
3.776 0.000 3.776
3.776 3.776 0.000
Na Sm Mg Sn
1 1 1 1
direct
0.000 0.000 0.000 Na
0.500 0.500 0.500 Sm
0.250 0.250 0.250 Mg
0.750 0.750 0.750 Sn

NaSrSmMg (PBE, relaxed); theoretical density = 3.40 Mg/m³; DFT formation energy = 139 meV per atom
1.0
0.000 4.116 4.116
4.116 0.000 4.116
4.116 4.116 0.000
Na Sr Sm Mg
1 1 1 1
direct
0.000 0.000 0.000 Na
0.250 0.250 0.250 Sr
0.750 0.750 0.750 Sm
0.500 0.500 0.500 Mg